Entry 1:
! LaOsI2 | the Alexandria database | PBEsol | optimized geometry; values from VASP
&SYSTEM
  ibrav = 0, nat = 4, ntyp = 3
/
ATOMIC_SPECIES
Os 190.23 Os.upf
I 126.90 I.upf
La 138.91 La.upf
ATOMIC_POSITIONS angstrom
Os -2.0765 -5.9733 1.0234
I -1.0383 -2.9866 0.5117
I -3.1148 -8.9599 1.5350
La 0.0000 0.0000 0.0000
CELL_PARAMETERS angstrom
-0.6227 -4.7309 -2.1425
0.6194 -4.2954 2.9198
-4.1497 -2.9202 1.2694
! DOS(E_F) (states/eV/atom): 1.536
! Energy (eV per cell): -19.54
! Space-group type: No. 225

Entry 2:
! CoAsW2 | the Alexandria database | PBEsol | optimized geometry; values from VASP
&SYSTEM
  ibrav = 0, nat = 4, ntyp = 3
/
ATOMIC_SPECIES
W 183.84 W.upf
As 74.92 As.upf
Co 58.93 Co.upf
ATOMIC_POSITIONS angstrom
W 0.0000 0.0000 4.9186
As 1.4488 1.4488 0.0000
W 0.0000 0.0000 1.6460
Co 1.4488 1.4488 3.2824
CELL_PARAMETERS angstrom
2.8976 0.0000 0.0000
0.0000 2.8976 0.0000
0.0000 0.0000 6.5649
! DOS(E_F) (states/eV/atom): 0.395
! Formation enthalpy at 0 K (eV/atom): 0.2429
! Space-group type: No. 123

Entry 3:
! Mn2SiNi | the Alexandria database | PBEsol | optimized geometry; values from VASP
&SYSTEM
  ibrav = 0, nat = 4, ntyp = 3
/
ATOMIC_SPECIES
Si 28.09 Si.upf
Mn 54.94 Mn.upf
Ni 58.69 Ni.upf
ATOMIC_POSITIONS angstrom
Si -0.5590 1.1049 0.3401
Mn -0.4727 -0.8239 1.8995
Ni -2.6302 -0.1150 0.8987
Mn -1.5985 -0.3960 -1.3409
CELL_PARAMETERS angstrom
-1.1181 2.2098 0.6803
-3.1970 -0.7920 -2.6818
-0.9453 -1.6478 3.7989
! DOS(E_F) (states/eV/atom): 0.965
! Energy (eV per cell): -32.30
! Space-group type: No. 65

Entry 4:
! BeRePO2 | the Alexandria database | PBEsol | optimized geometry; values from VASP
&SYSTEM
  ibrav = 0, nat = 5, ntyp = 4
/
ATOMIC_SPECIES
O 16.00 O.upf
Re 186.21 Re.upf
Be 9.01 Be.upf
P 30.97 P.upf
ATOMIC_POSITIONS angstrom
O 0.5927 -0.6794 -1.6108
Re 0.0000 0.0000 0.0000
O -0.4203 -1.7064 0.5651
Be 2.5332 -2.6436 -0.0684
P 2.3608 -0.2578 0.9774
CELL_PARAMETERS angstrom
-0.8405 -3.4128 1.1301
1.1854 -1.3588 -3.2217
4.7216 -0.5155 1.9548
! DOS(E_F) (states/eV/atom): 0.598
! Energy (eV per cell): -35.91
! Space-group type: No. 123

> Look up the DOS(E_F) of the second one.

0.395 states/eV/atom

> What is the DOS(E_F) in the second record?

0.395 states/eV/atom

> What is the DOS(E_F) in the first record?

1.536 states/eV/atom

> Among the records above, which one has the lowest DOS(E_F)?

CoAsW2